VASP calculation (GGA-PBEsol) on crystalline Y2AgF2 at its relaxed geometry.

Cell: 3.5991 3.5991 7.1642 Å, 104.55 104.55 90.00°
Fractional positions:
Y (0.3650, 0.3650, 0.7300)
Y (0.6350, 0.6350, 0.2700)
Ag (0.0000, 0.0000, 0.0000)
F (0.2500, 0.7500, 0.5000)
F (0.7500, 0.2500, 0.5000)

Values from the calculation:
E_tot in eV/atom: -6.4432
N(E_F) in states/eV/f.u.: 2.0
Space-group type: I4/mmm, No. 139
E_form (uncorrected) in eV/atom: -2.28
Density in g cm⁻³: 6.20
Size of the total moment in μB/atom: 0.00

=====

VASP calculation (GGA-PBEsol) on crystalline ZnAgF3 at its relaxed geometry.

Cell: 3.9827 3.9827 3.9827 Å, 90.00 90.00 90.00°
Fractional positions:
Zn (0.0000, 0.0000, 0.0000)
Ag (0.5000, 0.5000, 0.5000)
F (0.0000, 0.5000, 0.0000)
F (0.0000, 0.0000, 0.5000)
F (0.5000, 0.0000, 0.0000)

Values from the calculation:
E_tot in eV/atom: -3.8137
Space-group type: Pm-3m, No. 221
E_form (uncorrected) in eV/atom: -1.68
Density in g cm⁻³: 6.05
Size of the total moment in μB/atom: 0.00

=====

- Look up the E_form (uncorrected) of the second one.
  -1.68 eV/atom

=====

- density of number 2 (ZnAgF3)?
  6.05 g cm⁻³

=====

- E_form (uncorrected) of number 2 (ZnAgF3)?
  -1.68 eV/atom